This record from Alexandria describes Sm2TlCoO6 after structural relaxation. The functional is PBE+U.

Results
M_tot (Bohr magnetons per cell): 0.010
ρ (Mg/m³): 8.56
DOS(E_F) (states/eV/f.u.): 0.0
E (eV per atom): -6.727

Cell lengths 5.497, 5.857, 9.622 Å; angles 90.00, 124.28, 90.00 degrees
Atoms (fractional coordinates):
1 Sm 0.228 0.069 0.251
2 Sm 0.228 0.431 0.751
3 Sm 0.772 0.569 0.249
4 Sm 0.772 0.931 0.749
5 Tl 0.500 0.000 0.000
6 Tl 0.500 0.500 0.500
7 Co 0.000 0.000 0.500
8 Co 0.000 0.500 0.000
9 O 0.099 0.217 0.930
10 O 0.099 0.283 0.430
11 O 0.233 0.677 0.943
12 O 0.233 0.823 0.443
13 O 0.351 0.051 0.728
14 O 0.351 0.449 0.228
15 O 0.649 0.551 0.772
16 O 0.649 0.949 0.272
17 O 0.767 0.177 0.557
18 O 0.767 0.323 0.057
19 O 0.901 0.717 0.570
20 O 0.901 0.783 0.070